# CdIn4Ag7 (PBE, optimized geometry)
# Total DFT energy (no corrections), eV per atom: -2.660
# Formation enthalpy at 0 K, meV/atom: -8
data_CdIn4Ag7
_chemical_formula_sum 'Cd1 In4 Ag7'
_cell_length_a 4.7437
_cell_length_b 5.5814
_cell_length_c 9.9436
_cell_angle_alpha 76.22
_cell_angle_beta 76.23
_cell_angle_gamma 89.91
_space_group_name_H-M_alt 'P -1'
_space_group_IT_number 2
loop_
_space_group_symop_operation_xyz
'x,y,z'
'-x,-y,-z'
loop_
_atom_site_label
_atom_site_type_symbol
_atom_site_fract_x
_atom_site_fract_y
_atom_site_fract_z
Cd1 Cd 0.0000 0.0000 0.0000
In1 In 0.1442 0.7888 0.7125
In2 In 0.3856 0.6341 0.2229
Ag1 Ag 0.0000 0.5000 0.0000
Ag2 Ag 0.2158 0.3712 0.5693
Ag3 Ag 0.2926 0.9492 0.4140
Ag4 Ag 0.4517 0.1986 0.0979